# CoBiF2

A geometry-optimized CoBiF2 structure (PBE+U, Alexandria).

Output
volume: 83 Å³ per cell
space-group type: R-3m
ΔE to the lowest computed polymorph: 0 meV/atom

```
CoBiF2
1.0
1.873 0.000 9.155
-0.936 1.622 9.155
-0.936 -1.622 9.155
Bi F Co
1 2 1
Direct
0.000 0.000 0.000
0.867 0.867 0.867
0.133 0.133 0.133
0.500 0.500 0.500
```